A plane-wave DFT calculation with GGA-PBE was carried out for a relaxed Tm5PS5 crystal.

Formation energy from raw total energies (meV/atom): -1997
DOS at the Fermi energy (states/eV/f.u.): 3.03

abc: 5.4584 6.6942 7.7244
angles: 106.83 90.00 114.06
With the nearest neighbours (Å) after each atom.
Fractional positions:
1 S 0.6695 0.3390 0.3327  5 Tm 2.73-2.74
2 S 0.0000 0.0000 0.5000  4 Tm 2.66-2.70
3 S 0.3291 0.6583 0.1613  5 Tm 2.73-2.75
4 S 0.6709 0.3417 0.8387  5 Tm 2.73-2.75
5 S 0.3305 0.6610 0.6673  5 Tm 2.73-2.74
6 Tm 0.8401 0.6802 0.1730  5 S 2.66-2.75, 1 P 2.70
7 Tm 0.1599 0.3198 0.8270  5 S 2.66-2.75, 1 P 2.70
8 Tm 0.1638 0.3277 0.3341  5 S 2.70-2.75, 1 P 2.72
9 Tm 0.8362 0.6723 0.6659  5 S 2.70-2.75, 1 P 2.72
10 Tm 0.5000 0.0000 0.0000  2 P 2.73, 4 S 2.74-2.75
11 P 0.0000 0.0000 0.0000  6 Tm 2.70-2.73